No. 1
A plane-wave DFT calculation with PBE was carried out for crystalline Y8Si3Te4As at its relaxed geometry.

## Properties
- Total magnetic moment: 0.000 μB/cell
- Crystal system: trigonal
- ρ: 5.234 g/cm³
- E: -6.566 eV per atom
- Formation energy (no corrections): -1.2410 eV per atom

abc: 8.4434 8.4434 21.2850
angles: 90.00 90.00 120.00
Space group R-3m (No. 166, hexagonal axes)
Symmetry-distinct sites (fractional):
Y: 0.0000 0.0000 0.2398 (multiplicity 6)
Y: 0.0039 0.5019 0.7607 (multiplicity 18)
Si: 0.0000 0.5000 0.5000 (multiplicity 9)
Te: 0.0000 0.0000 0.0000 (multiplicity 3)
Te: 0.0000 0.5000 0.0000 (multiplicity 9)
As: 0.0000 0.0000 0.5000 (multiplicity 3)

=====

No. 2
A plane-wave DFT calculation with PBE was carried out for crystalline Y4SiTe2As at its relaxed geometry.

## Properties
- Total magnetic moment: 0.000 μB/cell
- Crystal system: monoclinic
- ρ: 5.432 g/cm³
- E: -6.621 eV per atom
- Formation energy (no corrections): -1.3440 eV per atom

abc: 7.3138 4.2186 7.4786
angles: 90.00 108.96 90.00
Space group P2/m (No. 10)
Symmetry-distinct sites (fractional):
Y: 0.2356 0.0000 0.2188 (multiplicity 2)
Y: 0.2560 0.5000 0.7816 (multiplicity 2)
Si: 0.0000 0.5000 0.0000 (multiplicity 1)
Te: 0.0000 0.0000 0.5000 (multiplicity 1)
Te: 0.5000 0.5000 0.5000 (multiplicity 1)
As: 0.5000 0.0000 0.0000 (multiplicity 1)

=====

No. 3
A plane-wave DFT calculation with PBE was carried out for crystalline Zr2SiTe2As at its relaxed geometry.

## Properties
- Total magnetic moment: 0.000 μB/cell
- Crystal system: tetragonal
- ρ: 6.126 g/cm³
- E: -6.425 eV per atom
- Formation energy (no corrections): -0.8501 eV per atom

abc: 3.7501 3.7501 10.4216
angles: 90.00 90.00 90.00
Space group P-4m2 (No. 115)
Symmetry-distinct sites (fractional):
Zr: 0.0000 0.5000 0.2006 (multiplicity 2)
Si: 0.5000 0.5000 0.0000 (multiplicity 1)
Te: 0.0000 0.5000 0.6658 (multiplicity 2)
As: 0.0000 0.0000 0.0000 (multiplicity 1)

=====

No. 4
A plane-wave DFT calculation with PBE was carried out for crystalline Th3SiAs2 at its relaxed geometry.

## Properties
- Total magnetic moment: 0.000 μB/cell
- Crystal system: orthorhombic
- ρ: 8.849 g/cm³
- E: -7.330 eV per atom
- Formation energy (no corrections): -1.1667 eV per atom

abc: 4.2544 6.0166 12.8155
angles: 90.00 90.00 90.00
Space group Immm (No. 71)
Symmetry-distinct sites (fractional):
Th: 0.0000 0.0000 0.0000 (multiplicity 2)
Th: 0.0000 0.0000 0.3369 (multiplicity 4)
Si: 0.0000 0.5000 0.0000 (multiplicity 2)
As: 0.0000 0.5000 0.3324 (multiplicity 4)

=====

No. 5
A plane-wave DFT calculation with PBE was carried out for crystalline ThSiAs at its relaxed geometry.

## Properties
- Total magnetic moment: 0.000 μB/cell
- Crystal system: orthorhombic
- ρ: 8.207 g/cm³
- E: -6.305 eV per atom
- Formation energy (no corrections): -0.4739 eV per atom

abc: 3.5928 14.2886 5.2820
angles: 90.00 90.00 90.00
Space group Cmcm (No. 63)
Symmetry-distinct sites (fractional):
Th: 0.0000 0.1041 0.2500 (multiplicity 4)
Si: 0.0000 0.4126 0.2500 (multiplicity 4)
As: 0.0000 0.2075 0.7500 (multiplicity 4)

=====

No. 6
A plane-wave DFT calculation with PBE was carried out for crystalline Th4Si3As at its relaxed geometry.

## Properties
- Total magnetic moment: 0.000 μB/cell
- Crystal system: monoclinic
- ρ: 9.283 g/cm³
- E: -6.959 eV per atom
- Formation energy (no corrections): -0.6346 eV per atom

abc: 10.7302 10.7283 3.3792
angles: 90.00 90.10 90.00
Space group Cm (No. 8)
Symmetry-distinct sites (fractional):
Th: 0.0000 0.0000 0.0000 (multiplicity 2)
Th: 0.0046 0.5000 0.0007 (multiplicity 2)
Th: 0.2524 0.2518 0.7944 (multiplicity 4)
Si: 0.0022 0.2501 0.3965 (multiplicity 4)
Si: 0.2524 0.5000 0.3988 (multiplicity 2)
As: 0.2523 0.0000 0.3960 (multiplicity 2)

=====

No. 7
A plane-wave DFT calculation with PBE was carried out for crystalline Th5SiAs4 at its relaxed geometry.

## Properties
- Total magnetic moment: 0.000 μB/cell
- Crystal system: tetragonal
- ρ: 9.054 g/cm³
- E: -7.370 eV per atom
- Formation energy (no corrections): -1.2583 eV per atom

abc: 9.5230 9.5230 6.0183
angles: 90.00 90.00 90.00
Space group I4/m (No. 87)
Symmetry-distinct sites (fractional):
Th: 0.0000 0.0000 0.0000 (multiplicity 2)
Th: 0.0988 0.7039 0.5000 (multiplicity 8)
Si: 0.0000 0.0000 0.5000 (multiplicity 2)
As: 0.0988 0.6991 0.0000 (multiplicity 8)

=====

No. 8
A plane-wave DFT calculation with PBE was carried out for crystalline Th6SiAs5 at its relaxed geometry.

## Properties
- Total magnetic moment: 0.000 μB/cell
- Crystal system: monoclinic
- ρ: 9.109 g/cm³
- E: -7.384 eV per atom
- Formation energy (no corrections): -1.2844 eV per atom

abc: 7.3694 12.7733 7.3747
angles: 90.00 109.48 90.00
Space group C2/m (No. 12)
Symmetry-distinct sites (fractional):
Th: 0.2464 0.0000 0.2532 (multiplicity 4)
Th: 0.2467 0.1643 0.7471 (multiplicity 8)
Si: 0.0000 0.0000 0.5000 (multiplicity 2)
As: 0.0000 0.1681 0.0000 (multiplicity 4)
As: 0.0000 0.3334 0.5000 (multiplicity 4)
As: 0.0000 0.5000 0.0000 (multiplicity 2)

=====

No. 9
A plane-wave DFT calculation with PBE was carried out for crystalline Ti2Si2As at its relaxed geometry.

## Properties
- Offset from the most stable computed form: 0.102 eV/atom
- Total magnetic moment: 0.000 μB/cell
- Crystal system: tetragonal
- ρ: 4.625 g/cm³
- E: -6.724 eV per atom
- Formation energy (no corrections): -0.4669 eV per atom

abc: 6.7031 6.7031 3.6253
angles: 90.00 90.00 90.00
Space group P4/mbm (No. 127)
Symmetry-distinct sites (fractional):
Ti: 0.1743 0.3257 0.0000 (multiplicity 4)
Si: 0.1246 0.6246 0.5000 (multiplicity 4)
As: 0.0000 0.0000 0.0000 (multiplicity 2)

=====

No. 10
A plane-wave DFT calculation with PBE was carried out for crystalline Ti5SiAs2 at its relaxed geometry.

## Properties
- Total magnetic moment: 0.000 μB/cell
- Crystal system: orthorhombic
- ρ: 5.373 g/cm³
- E: -7.531 eV per atom
- Formation energy (no corrections): -0.7567 eV per atom

abc: 6.6955 10.1915 3.7794
angles: 90.00 90.00 90.00
Space group Pbam (No. 55)
Symmetry-distinct sites (fractional):
Ti: 0.0000 0.0000 0.0000 (multiplicity 2)
Ti: 0.1447 0.2846 0.0000 (multiplicity 4)
Ti: 0.2076 0.5742 0.5000 (multiplicity 4)
Si: 0.0000 0.5000 0.0000 (multiplicity 2)
As: 0.0811 0.8257 0.5000 (multiplicity 4)

=====

No. 11
A plane-wave DFT calculation with PBE was carried out for crystalline Ti2Si2As at its relaxed geometry.

## Properties
- Offset from the most stable computed form: 0.000 eV/atom
- Total magnetic moment: 1.174 μB/cell
- Crystal system: tetragonal
- ρ: 4.721 g/cm³
- E: -6.826 eV per atom
- Formation energy (no corrections): -0.5685 eV per atom

abc: 3.4160 3.4160 13.6757
angles: 90.00 90.00 90.00
Space group I4/mmm (No. 139)
Symmetry-distinct sites (fractional):
Ti: 0.0000 0.0000 0.1023 (multiplicity 4)
Si: 0.0000 0.5000 0.2500 (multiplicity 4)
As: 0.0000 0.0000 0.5000 (multiplicity 2)

=====

No. 12
A plane-wave DFT calculation with PBE was carried out for crystalline Ti5Si2As at its relaxed geometry.

## Properties
- Total magnetic moment: 0.000 μB/cell
- Crystal system: tetragonal
- ρ: 4.964 g/cm³
- E: -7.677 eV per atom
- Formation energy (no corrections): -0.8058 eV per atom

abc: 6.5240 6.5240 11.6451
angles: 90.00 90.00 90.00
Space group I4/mcm (No. 140)
Symmetry-distinct sites (fractional):
Ti: 0.0000 0.0000 0.0000 (multiplicity 4)
Ti: 0.1639 0.3361 0.1497 (multiplicity 16)
Si: 0.1319 0.3681 0.5000 (multiplicity 8)
As: 0.0000 0.0000 0.2500 (multiplicity 4)

=====

No. 13
A plane-wave DFT calculation with PBE was carried out for crystalline TiSi3As at its relaxed geometry.

## Properties
- Offset from the most stable computed form: 0.000 eV/atom
- Total magnetic moment: 0.000 μB/cell
- Crystal system: cubic
- ρ: 3.131 g/cm³
- E: -4.935 eV per atom
- Formation energy (no corrections): 0.8279 eV per atom

abc: 4.7888 4.7888 4.7888
angles: 90.00 90.00 90.00
Space group Pm-3m (No. 221)
Symmetry-distinct sites (fractional):
Ti: 0.0000 0.0000 0.0000 (multiplicity 1)
Si: 0.0000 0.0000 0.5000 (multiplicity 3)
As: 0.5000 0.5000 0.5000 (multiplicity 1)

=====

No. 14
A plane-wave DFT calculation with PBE was carried out for crystalline Ti4SiAs2 at its relaxed geometry.

## Properties
- Total magnetic moment: 4.494 μB/cell
- Crystal system: tetragonal
- ρ: 4.565 g/cm³
- E: -6.694 eV per atom
- Formation energy (no corrections): -0.0795 eV per atom

abc: 4.4776 4.4776 13.4047
angles: 90.00 90.00 90.00
Space group I4/mmm (No. 139)
Symmetry-distinct sites (fractional):
Ti: 0.0000 0.0000 0.1779 (multiplicity 4)
Ti: 0.0000 0.5000 0.0000 (multiplicity 4)
Si: 0.0000 0.0000 0.0000 (multiplicity 2)
As: 0.0000 0.0000 0.3671 (multiplicity 4)

=====

No. 15
A plane-wave DFT calculation with PBE was carried out for crystalline Ti5Si2As2 at its relaxed geometry.

## Properties
- Total magnetic moment: 0.000 μB/cell
- Crystal system: orthorhombic
- ρ: 5.185 g/cm³
- E: -7.528 eV per atom
- Formation energy (no corrections): -0.9035 eV per atom

abc: 12.7959 6.7143 6.6409
angles: 90.00 90.00 90.00
Space group Cmce (No. 64)
Symmetry-distinct sites (fractional):
Ti: 0.0000 0.0000 0.0000 (multiplicity 4)
Ti: 0.1338 0.1646 0.3339 (multiplicity 16)
Si: 0.0000 0.1289 0.6275 (multiplicity 8)
As: 0.2038 0.0000 0.0000 (multiplicity 8)

=====

No. 16
A plane-wave DFT calculation with PBE was carried out for crystalline TiSi3As at its relaxed geometry.

## Properties
- Offset from the most stable computed form: 0.300 eV/atom
- Total magnetic moment: 0.000 μB/cell
- Crystal system: cubic
- ρ: 3.309 g/cm³
- E: -4.635 eV per atom
- Formation energy (no corrections): 1.1278 eV per atom

abc: 4.7013 4.7013 4.7013
angles: 90.00 90.00 90.00
Space group Pm-3m (No. 221)
Symmetry-distinct sites (fractional):
Ti: 0.0000 0.0000 0.0000 (multiplicity 1)
Si: 0.0000 0.5000 0.5000 (multiplicity 3)
As: 0.5000 0.5000 0.5000 (multiplicity 1)

=====

No. 17
A plane-wave DFT calculation with PBE was carried out for crystalline TiSiAs2 at its relaxed geometry.

## Properties
- Total magnetic moment: 2.192 μB/cell
- Crystal system: tetragonal
- ρ: 4.017 g/cm³
- E: -5.698 eV per atom
- Formation energy (no corrections): -0.0439 eV per atom

abc: 5.8450 5.8450 10.9292
angles: 90.00 90.00 90.00
Space group I-42d (No. 122)
Symmetry-distinct sites (fractional):
Ti: 0.0000 0.0000 0.0000 (multiplicity 4)
Si: 0.0000 0.0000 0.5000 (multiplicity 4)
As: 0.2362 0.2500 0.6250 (multiplicity 8)

=====

No. 18
A plane-wave DFT calculation with PBE was carried out for crystalline TiVSiAs2 at its relaxed geometry.

## Properties
- Total magnetic moment: 0.375 μB/cell
- Crystal system: tetragonal
- ρ: 4.220 g/cm³
- E: -5.554 eV per atom
- Formation energy (no corrections): 0.7934 eV per atom

abc: 4.8006 4.8006 4.7248
angles: 90.00 90.00 90.00
Space group P4/mmm (No. 123)
Symmetry-distinct sites (fractional):
Ti: 0.0000 0.0000 0.0000 (multiplicity 1)
V: 0.5000 0.5000 0.5000 (multiplicity 1)
Si: 0.0000 0.0000 0.5000 (multiplicity 1)
As: 0.0000 0.5000 0.0000 (multiplicity 2)

=====

No. 19
A plane-wave DFT calculation with PBE was carried out for crystalline TlSiAs2 at its relaxed geometry.

## Properties
- Offset from the most stable computed form: 0.526 eV/atom
- Total magnetic moment: 0.000 μB/cell
- Crystal system: tetragonal
- ρ: 7.353 g/cm³
- E: -3.689 eV per atom
- Formation energy (no corrections): 0.5834 eV per atom

abc: 4.4364 4.4364 8.7733
angles: 90.00 90.00 90.00
Space group I-4m2 (No. 119)
Symmetry-distinct sites (fractional):
Tl: 0.0000 0.0000 0.0000 (multiplicity 2)
Si: 0.0000 0.5000 0.2500 (multiplicity 2)
As: 0.0000 0.0000 0.5000 (multiplicity 2)
As: 0.0000 0.5000 0.7500 (multiplicity 2)

=====

No. 20
A plane-wave DFT calculation with PBE was carried out for crystalline TlSiAs2 at its relaxed geometry.

## Properties
- Offset from the most stable computed form: 0.490 eV/atom
- Total magnetic moment: 0.000 μB/cell
- Crystal system: monoclinic
- ρ: 7.415 g/cm³
- E: -3.725 eV per atom
- Formation energy (no corrections): 0.5473 eV per atom

abc: 5.7925 10.2702 2.9444
angles: 90.00 102.15 90.00
Space group C2/m (No. 12)
Symmetry-distinct sites (fractional):
Tl: 0.0000 0.0000 0.0000 (multiplicity 2)
Si: 0.0000 0.5000 0.0000 (multiplicity 2)
As: 0.2500 0.2500 0.5000 (multiplicity 4)